Compound: PrHoTm2
Source: Alexandria
Functional: GGA-PBE
Structure: relaxed

```
PrHoTm2
1.0
1.785 1.031 11.514
-1.785 1.031 11.514
0.000 -2.061 11.514
Pr Ho Tm
1 1 2
Cartesian
0.000 0.000 0.000
0.000 0.000 5.721
0.000 0.000 20.050
0.000 0.000 25.952
```

Summary:
As for the energy of formation: 0.028 eV/atom. The crystal system is trigonal. As for the symmetry: R3m.